(1)
# PBE K2Sr2Sb, relaxed
data_K2Sr2Sb
_cell_length_a 8.7641
_cell_length_b 8.7641
_cell_length_c 7.2089
_cell_angle_alpha 90.00
_cell_angle_beta 90.00
_cell_angle_gamma 90.00
_space_group_name_H-M_alt 'P 4/m b m'
_space_group_IT_number 127
_space_group_name_Hall '-P 4 2ab'
loop_
_atom_site_label
_atom_site_type_symbol
_atom_site_fract_x
_atom_site_fract_y
_atom_site_fract_z
K1 K 0.1706 0.3294 0.0000
Sr1 Sr 0.1694 0.6694 0.5000
Sb1 Sb 0.0000 0.0000 0.5000
# total moment: 0.00 μB per atom
# mass density: 2.25 Mg/m³
# E_form (uncorrected): -0.244 eV/atom

(2)
# PBE U3Ge, relaxed
data_U3Ge
_cell_length_a 4.3222
_cell_length_b 4.3222
_cell_length_c 8.4294
_cell_angle_alpha 90.00
_cell_angle_beta 90.00
_cell_angle_gamma 90.00
_space_group_name_H-M_alt 'I 4/m m m'
_space_group_IT_number 139
_space_group_name_Hall '-I 4 2'
loop_
_atom_site_label
_atom_site_type_symbol
_atom_site_fract_x
_atom_site_fract_y
_atom_site_fract_z
U1 U 0.0000 0.0000 0.0000
U2 U 0.0000 0.5000 0.2500
Ge1 Ge 0.0000 0.0000 0.5000
# total moment: 0.00 μB per atom
# ΔE_f: -0.142 eV/atom
# energy relative to the lowest polymorph listed for this composition: 7.5 kJ/mol of formula units
# mass density: 16.59 Mg/m³

(3)
# PBE BAuI, relaxed
data_BAuI
_cell_length_a 5.8308
_cell_length_b 4.5617
_cell_length_c 6.1022
_cell_angle_alpha 90.00
_cell_angle_beta 112.48
_cell_angle_gamma 90.00
_space_group_name_H-M_alt 'C 1 m 1'
_space_group_IT_number 8
_space_group_name_Hall 'C -2y'
loop_
_atom_site_label
_atom_site_type_symbol
_atom_site_fract_x
_atom_site_fract_y
_atom_site_fract_z
B1 B 0.0000 0.0000 0.0000
Au1 Au 0.1491 0.0000 0.3608
I1 I 0.3457 0.0000 0.8575
# total moment: 0.00 μB per atom
# energy relative to the lowest polymorph listed for this composition: 180.7 kJ/mol of formula units
# mass density: 7.41 Mg/m³
# E_form (uncorrected): 0.943 eV/atom

(4)
# PBE YSnF2, relaxed
data_YSnF2
_cell_length_a 3.4556
_cell_length_b 3.4556
_cell_length_c 25.8363
_cell_angle_alpha 90.00
_cell_angle_beta 90.00
_cell_angle_gamma 120.00
_space_group_name_H-M_alt 'R -3 m'
_space_group_IT_number 166
_space_group_name_Hall '-R 3 2"'
loop_
_atom_site_label
_atom_site_type_symbol
_atom_site_fract_x
_atom_site_fract_y
_atom_site_fract_z
Y1 Y 0.0000 0.0000 0.0000
Sn1 Sn 0.0000 0.0000 0.5000
F1 F 0.0000 0.0000 0.0825
# total moment: 0.00 μB per atom
# energy relative to the lowest polymorph listed for this composition: 141.2 kJ/mol of formula units
# mass density: 4.58 Mg/m³
# E_form (uncorrected): -1.877 eV/atom

(5)
# PBE In2SeBr, relaxed
data_In2SeBr
_cell_length_a 7.5816
_cell_length_b 7.5816
_cell_length_c 7.5816
_cell_angle_alpha 90.00
_cell_angle_beta 90.00
_cell_angle_gamma 90.00
_space_group_name_H-M_alt 'F -4 3 m'
_space_group_IT_number 216
_space_group_name_Hall 'F -4 2 3'
loop_
_atom_site_label
_atom_site_type_symbol
_atom_site_fract_x
_atom_site_fract_y
_atom_site_fract_z
In1 In 0.0000 0.0000 0.0000
In2 In 0.2500 0.2500 0.2500
Se1 Se 0.0000 0.0000 0.5000
Br1 Br 0.2500 0.2500 0.7500
# total moment: 0.00 μB per atom
# energy relative to the lowest polymorph listed for this composition: 157.0 kJ/mol of formula units
# mass density: 5.92 Mg/m³
# E_form (uncorrected): -0.069 eV/atom

(6)
# PBE KTl5Au4, relaxed
data_KTl5Au4
_cell_length_a 15.2997
_cell_length_b 5.3235
_cell_length_c 7.0459
_cell_angle_alpha 90.00
_cell_angle_beta 102.75
_cell_angle_gamma 90.00
_space_group_name_H-M_alt 'C 1 2/m 1'
_space_group_IT_number 12
_space_group_name_Hall '-C 2y'
loop_
_atom_site_label
_atom_site_type_symbol
_atom_site_fract_x
_atom_site_fract_y
_atom_site_fract_z
K1 K 0.0000 0.0000 0.0000
Tl1 Tl 0.0000 0.0000 0.5000
Tl2 Tl 0.1448 0.5000 0.9973
Tl3 Tl 0.2078 0.5000 0.5772
Au1 Au 0.0314 0.5000 0.3114
Au2 Au 0.1744 0.0000 0.7735
# total moment: 0.00 μB per atom
# ΔE_f: -0.061 eV/atom
# mass density: 10.97 Mg/m³

(7)
# PBE CsLiSi3, relaxed
data_CsLiSi3
_cell_length_a 5.6882
_cell_length_b 5.6882
_cell_length_c 5.6882
_cell_angle_alpha 90.00
_cell_angle_beta 90.00
_cell_angle_gamma 90.00
_space_group_name_H-M_alt 'P m -3 m'
_space_group_IT_number 221
_space_group_name_Hall '-P 4 2 3'
loop_
_atom_site_label
_atom_site_type_symbol
_atom_site_fract_x
_atom_site_fract_y
_atom_site_fract_z
Cs1 Cs 0.0000 0.0000 0.0000
Li1 Li 0.5000 0.5000 0.5000
Si1 Si 0.0000 0.0000 0.5000
# total moment: 0.00 μB per atom
# energy relative to the lowest polymorph listed for this composition: 554.4 kJ/mol of formula units
# mass density: 2.02 Mg/m³
# E_form (uncorrected): 1.987 eV/atom

(8)
# PBE ScMnNi2, relaxed
data_ScMnNi2
_cell_length_a 2.7903
_cell_length_b 2.7903
_cell_length_c 24.9026
_cell_angle_alpha 90.00
_cell_angle_beta 90.00
_cell_angle_gamma 120.00
_space_group_name_H-M_alt 'R 3 m'
_space_group_IT_number 160
_space_group_name_Hall 'R 3 -2"'
loop_
_atom_site_label
_atom_site_type_symbol
_atom_site_fract_x
_atom_site_fract_y
_atom_site_fract_z
Sc1 Sc 0.0000 0.0000 0.0000
Mn1 Mn 0.0000 0.0000 0.7590
Ni1 Ni 0.0000 0.0000 0.2481
Ni2 Ni 0.0000 0.0000 0.5025
# total moment: 0.72 μB per atom
# ΔE_f: 0.206 eV/atom
# mass density: 6.45 Mg/m³

(9)
# PBE TcHg2Cl, relaxed
data_TcHg2Cl
_cell_length_a 7.0104
_cell_length_b 7.0104
_cell_length_c 7.0104
_cell_angle_alpha 90.00
_cell_angle_beta 90.00
_cell_angle_gamma 90.00
_space_group_name_H-M_alt 'F m -3 m'
_space_group_IT_number 225
_space_group_name_Hall '-F 4 2 3'
loop_
_atom_site_label
_atom_site_type_symbol
_atom_site_fract_x
_atom_site_fract_y
_atom_site_fract_z
Tc1 Tc 0.0000 0.0000 0.0000
Hg1 Hg 0.2500 0.2500 0.2500
Cl1 Cl 0.0000 0.0000 0.5000
# total moment: 0.54 μB per atom
# energy relative to the lowest polymorph listed for this composition: 235.0 kJ/mol of formula units
# mass density: 10.31 Mg/m³
# E_form (uncorrected): 0.818 eV/atom

(10)
# PBE GaHg2PbSe4, relaxed
data_GaHg2PbSe4
_cell_length_a 8.4723
_cell_length_b 10.1154
_cell_length_c 11.3384
_cell_angle_alpha 90.00
_cell_angle_beta 90.00
_cell_angle_gamma 90.00
_space_group_name_H-M_alt 'F m m 2'
_space_group_IT_number 42
_space_group_name_Hall 'F 2 -2'
loop_
_atom_site_label
_atom_site_type_symbol
_atom_site_fract_x
_atom_site_fract_y
_atom_site_fract_z
Ga1 Ga 0.0000 0.0000 0.0000
Hg1 Hg 0.2500 0.2500 0.2321
Pb1 Pb 0.0000 0.0000 0.4654
Se1 Se 0.0000 0.2082 0.8918
Se2 Se 0.2352 0.0000 0.1326
# total moment: 0.00 μB per atom
# mass density: 6.79 Mg/m³
# E_form (uncorrected): -0.295 eV/atom

(11)
# PBE TaIn2Au, relaxed
data_TaIn2Au
_cell_length_a 3.1132
_cell_length_b 3.1132
_cell_length_c 28.8262
_cell_angle_alpha 90.00
_cell_angle_beta 90.00
_cell_angle_gamma 120.00
_space_group_name_H-M_alt 'R -3 m'
_space_group_IT_number 166
_space_group_name_Hall '-R 3 2"'
loop_
_atom_site_label
_atom_site_type_symbol
_atom_site_fract_x
_atom_site_fract_y
_atom_site_fract_z
Ta1 Ta 0.0000 0.0000 0.0000
In1 In 0.0000 0.0000 0.2494
Au1 Au 0.0000 0.0000 0.5000
# total moment: 0.00 μB per atom
# ΔE_f: 0.136 eV/atom
# energy relative to the lowest polymorph listed for this composition: 25.3 kJ/mol of formula units
# mass density: 12.51 Mg/m³